Crystalline TbZn4Cd at its relaxed geometry, computed with PBE.

Summary:
- Symmetry: Pbam
- Formation energy: -0.16 eV per atom

The structure in POSCAR format:
```
TbZn4Cd
1.0
-1.374 2.204 -2.373
-1.826 -5.904 -4.427
-15.602 -1.149 7.966
Zn Tb Cd
16 4 4
Direct
0.500 0.216 0.555
0.500 0.723 0.690
0.500 0.575 0.563
0.500 0.277 0.310
0.500 0.555 0.815
0.500 0.223 0.810
0.500 0.425 0.437
0.500 0.716 0.945
0.500 0.784 0.445
0.500 0.445 0.185
0.500 0.055 0.685
0.500 0.925 0.063
0.500 0.075 0.937
0.500 0.945 0.315
0.500 0.777 0.190
0.500 0.284 0.055
0.000 0.613 0.315
0.000 0.113 0.185
0.000 0.887 0.815
0.000 0.387 0.685
0.000 0.111 0.425
0.000 0.889 0.575
0.000 0.389 0.925
0.000 0.611 0.075
```



Crystalline YMgB at its relaxed geometry, computed with PBE.

Summary:
- Symmetry: F-43m
- Excess energy over the best structure of this formula in the dataset: 1277 meV/atom
- Formation energy: 1.00 eV per atom

The structure in POSCAR format:
```
YMgB
1.0
-0.215 0.476 4.462
-2.774 3.038 1.804
-3.661 -1.345 2.229
Y Mg B
1 1 1
Direct
0.500 0.500 0.500
0.750 0.750 0.750
0.250 0.250 0.250
```



Crystalline Li2I3 at its relaxed geometry, computed with PBE.

Summary:
- Symmetry: R-3c
- Formation energy without anion corrections: -0.797 eV per atom

The structure in POSCAR format:
```
Li2I3
1.0
7.552 0.000 0.000
3.776 6.540 0.000
3.776 2.180 6.219
I Li
6 4
Direct
0.250 0.577 0.250
0.423 0.077 0.750
0.077 0.750 0.750
0.923 0.250 0.250
0.750 0.423 0.750
0.577 0.923 0.250
0.843 0.843 0.470
0.343 0.343 0.970
0.157 0.157 0.530
0.657 0.657 0.030
```



Crystalline Cs3Np2O9 at its relaxed geometry, computed with PBE.

Summary:
- Symmetry: P-1
- Formation energy without anion corrections: -2.146 eV per atom

The structure in POSCAR format:
```
Cs3Np2O9
1.0
-0.490 5.644 3.585
0.468 -5.884 3.140
17.559 1.546 0.517
Np O Cs
4 18 6
Direct
0.648 0.323 0.163
0.352 0.677 0.837
0.678 0.346 0.337
0.322 0.654 0.663
0.830 0.224 0.396
0.764 0.172 0.099
0.170 0.373 0.609
0.170 0.776 0.604
0.464 0.534 0.747
0.234 0.416 0.906
0.536 0.466 0.253
0.236 0.828 0.901
0.465 0.922 0.740
0.421 0.225 0.408
0.635 0.821 0.888
0.081 0.539 0.763
0.830 0.627 0.391
0.766 0.584 0.094
0.919 0.461 0.237
0.365 0.179 0.112
0.579 0.775 0.592
0.535 0.078 0.260
0.322 0.663 0.066
0.666 0.327 0.566
0.334 0.673 0.434
0.994 0.002 0.250
0.678 0.337 0.934
0.006 0.998 0.750
```



Crystalline NaAcCdSb at its relaxed geometry, computed with PBE.

Summary:
- Symmetry: F-43m
- Formation energy without anion corrections: -0.450 eV per atom

The structure in POSCAR format:
```
NaAcCdSb
1.0
-0.472 5.566 -0.315
-4.951 2.326 -1.172
-2.783 2.801 3.963
Cd Na Sb Ac
1 1 1 1
Direct
0.750 0.750 0.750
0.000 0.000 0.000
0.250 0.250 0.250
0.500 0.500 0.500
```